1.
# BiPtI | Alexandria via LeMat-Bulk | PBE-GGA | relaxed
# Uncorrected energy ... -4.028 eV per atom
# Spin magnetization ... 0.000 μB per formula unit
# Formation energy without anion corrections ... -204 meV per atom
# Density of states at the Fermi level ... 0.77 states/eV/cell
# Distance to the lowest polymorph of the same formula ... 83 meV/atom
# Space group ... P3m1
data_BiPtI
_cell_length_a 4.105
_cell_length_b 4.105
_cell_length_c 6.012
_cell_angle_alpha 90.00
_cell_angle_beta 90.00
_cell_angle_gamma 120.00
_space_group_name_H-M_alt 'P 1'
_space_group_IT_number 1
_space_group_name_Hall 'P 1'
loop_
_atom_site_label
_atom_site_type_symbol
_atom_site_fract_x
_atom_site_fract_y
_atom_site_fract_z
Pt1 Pt 0.667 0.333 0.343
I1 I 0.000 0.000 0.072
Bi1 Bi 0.333 0.667 0.585

2.
# TlBRh3 | Alexandria via LeMat-Bulk | PBE-GGA | relaxed
# Uncorrected energy ... -5.938 eV per atom
# Spin magnetization ... 0.000 μB per formula unit
# Density of states at the Fermi level ... 10.29 states/eV/cell
# Space group ... P2_1/m
data_TlBRh3
_cell_length_a 3.896
_cell_length_b 5.464
_cell_length_c 9.914
_cell_angle_alpha 90.00
_cell_angle_beta 125.98
_cell_angle_gamma 90.00
_space_group_name_H-M_alt 'P 1'
_space_group_IT_number 1
_space_group_name_Hall 'P 1'
loop_
_atom_site_label
_atom_site_type_symbol
_atom_site_fract_x
_atom_site_fract_y
_atom_site_fract_z
Rh1 Rh 0.750 0.502 0.167
B1 B 0.005 0.250 0.340
Rh2 Rh 0.006 0.750 0.004
Rh3 Rh 0.250 0.002 0.833
Tl1 Tl 0.449 0.250 0.631
Rh4 Rh 0.750 0.998 0.167
Tl2 Tl 0.551 0.750 0.369
Rh5 Rh 0.250 0.498 0.833
Rh6 Rh 0.994 0.250 0.996
B2 B 0.995 0.750 0.660

3.
# Re2C2N | Alexandria via LeMat-Bulk | PBE-GGA | relaxed
# Uncorrected energy ... -9.457 eV per atom
# Spin magnetization ... 0.000 μB per formula unit
# Formation energy without anion corrections ... 877 meV per atom
# Density of states at the Fermi level ... 2.46 states/eV/cell
# Distance to the lowest polymorph of the same formula ... 0 meV/atom
# Space group ... I4/mmm
data_Re2C2N
_cell_length_a 3.931
_cell_length_b 3.931
_cell_length_c 4.197
_cell_angle_alpha 62.08
_cell_angle_beta 62.08
_cell_angle_gamma 90.00
_space_group_name_H-M_alt 'P 1'
_space_group_IT_number 1
_space_group_name_Hall 'P 1'
loop_
_atom_site_label
_atom_site_type_symbol
_atom_site_fract_x
_atom_site_fract_y
_atom_site_fract_z
C1 C 0.387 0.387 0.227
Re1 Re 0.250 0.750 0.500
Re2 Re 0.750 0.250 0.500
C2 C 0.613 0.613 0.773
N1 N 0.000 0.000 0.000

4.
# FeIr6Rh2 | Alexandria via LeMat-Bulk | PBE-GGA | relaxed
# Uncorrected energy ... -8.410 eV per atom
# Spin magnetization ... 1.740 μB per formula unit
# Density of states at the Fermi level ... 10.76 states/eV/cell
# Space group ... P-62m
data_FeIr6Rh2
_cell_length_a 2.721
_cell_length_b 7.373
_cell_length_c 7.373
_cell_angle_alpha 120.00
_cell_angle_beta 90.00
_cell_angle_gamma 90.00
_space_group_name_H-M_alt 'P 1'
_space_group_IT_number 1
_space_group_name_Hall 'P 1'
loop_
_atom_site_label
_atom_site_type_symbol
_atom_site_fract_x
_atom_site_fract_y
_atom_site_fract_z
Ir1 Ir 0.500 0.000 0.351
Ir2 Ir 0.000 0.708 0.000
Rh1 Rh 0.000 0.667 0.333
Ir3 Ir 0.500 0.351 0.000
Ir4 Ir 0.000 0.000 0.708
Rh2 Rh 0.000 0.333 0.667
Fe1 Fe 0.500 0.000 0.000
Ir5 Ir 0.000 0.292 0.292
Ir6 Ir 0.500 0.649 0.649

5.
# Ho4Ag2Os | Alexandria via LeMat-Bulk | PBE-GGA | relaxed
# Uncorrected energy ... -5.234 eV per atom
# Spin magnetization ... 0.000 μB per formula unit
# Density of states at the Fermi level ... 4.83 states/eV/cell
# Space group ... R-3m
data_Ho4Ag2Os
_cell_length_a 4.992
_cell_length_b 4.992
_cell_length_c 8.604
_cell_angle_alpha 73.14
_cell_angle_beta 73.14
_cell_angle_gamma 60.00
_space_group_name_H-M_alt 'P 1'
_space_group_IT_number 1
_space_group_name_Hall 'P 1'
loop_
_atom_site_label
_atom_site_type_symbol
_atom_site_fract_x
_atom_site_fract_y
_atom_site_fract_z
Os1 Os 0.000 0.000 0.000
Ho1 Ho 0.371 0.371 0.887
Ag1 Ag 0.248 0.248 0.256
Ag2 Ag 0.752 0.752 0.744
Ho2 Ho 0.629 0.629 0.113
Ho3 Ho 0.120 0.120 0.641
Ho4 Ho 0.880 0.880 0.359

6.
# NiGeCl2 | Alexandria via LeMat-Bulk | PBE-GGA | relaxed
# Uncorrected energy ... -3.506 eV per atom
# Spin magnetization ... 0.001 μB per formula unit
# Formation energy without anion corrections ... 17 meV per atom
# Density of states at the Fermi level ... 0.48 states/eV/cell
# Distance to the lowest polymorph of the same formula ... 0 meV/atom
# Space group ... R-3m
data_NiGeCl2
_cell_length_a 8.564
_cell_length_b 8.564
_cell_length_c 8.564
_cell_angle_alpha 22.78
_cell_angle_beta 22.78
_cell_angle_gamma 22.78
_space_group_name_H-M_alt 'P 1'
_space_group_IT_number 1
_space_group_name_Hall 'P 1'
loop_
_atom_site_label
_atom_site_type_symbol
_atom_site_fract_x
_atom_site_fract_y
_atom_site_fract_z
Ge1 Ge 0.500 0.500 0.500
Ni1 Ni 0.000 0.000 0.000
Cl1 Cl 0.085 0.085 0.085
Cl2 Cl 0.915 0.915 0.915

7.
# NaLi2AsPd | Alexandria via LeMat-Bulk | PBE-GGA | relaxed
# Uncorrected energy ... -3.365 eV per atom
# Spin magnetization ... 0.000 μB per formula unit
# Density of states at the Fermi level ... 1.37 states/eV/cell
# Space group ... P4/mmm
data_NaLi2AsPd
_cell_length_a 4.782
_cell_length_b 4.782
_cell_length_c 4.810
_cell_angle_alpha 90.00
_cell_angle_beta 90.00
_cell_angle_gamma 90.00
_space_group_name_H-M_alt 'P 1'
_space_group_IT_number 1
_space_group_name_Hall 'P 1'
loop_
_atom_site_label
_atom_site_type_symbol
_atom_site_fract_x
_atom_site_fract_y
_atom_site_fract_z
Pd1 Pd 0.000 0.000 0.500
Li1 Li 0.000 0.500 0.000
Li2 Li 0.500 0.000 0.000
Na1 Na 0.500 0.500 0.500
As1 As 0.000 0.000 0.000

8.
# AgSbTe3Pb | Alexandria via LeMat-Bulk | PBE-GGA | relaxed
# Uncorrected energy ... -3.525 eV per atom
# Spin magnetization ... 0.000 μB per formula unit
# Formation energy without anion corrections ... -174 meV per atom
# Distance to the lowest polymorph of the same formula ... 0 meV/atom
# Space group ... P2_1/m
data_AgSbTe3Pb
_cell_length_a 4.386
_cell_length_b 8.993
_cell_length_c 9.843
_cell_angle_alpha 101.23
_cell_angle_beta 90.00
_cell_angle_gamma 90.00
_space_group_name_H-M_alt 'P 1'
_space_group_IT_number 1
_space_group_name_Hall 'P 1'
loop_
_atom_site_label
_atom_site_type_symbol
_atom_site_fract_x
_atom_site_fract_y
_atom_site_fract_z
Te1 Te 0.250 0.740 0.482
Te2 Te 0.750 0.260 0.518
Te3 Te 0.750 0.900 0.118
Ag1 Ag 0.250 0.069 0.587
Ag2 Ag 0.750 0.931 0.413
Sb1 Sb 0.250 0.673 0.138
Pb1 Pb 0.750 0.811 0.728
Sb2 Sb 0.750 0.327 0.862
Te4 Te 0.250 0.100 0.882
Pb2 Pb 0.250 0.189 0.272
Te5 Te 0.750 0.426 0.165
Te6 Te 0.250 0.574 0.835

9.
# Ho3P2PtRh9 | Alexandria via LeMat-Bulk | PBE-GGA | relaxed
# Uncorrected energy ... -6.982 eV per atom
# Spin magnetization ... 0.000 μB per formula unit
# Density of states at the Fermi level ... 11.47 states/eV/cell
# Space group ... P-3m1
data_Ho3P2PtRh9
_cell_length_a 5.813
_cell_length_b 5.813
_cell_length_c 9.501
_cell_angle_alpha 90.00
_cell_angle_beta 90.00
_cell_angle_gamma 120.00
_space_group_name_H-M_alt 'P 1'
_space_group_IT_number 1
_space_group_name_Hall 'P 1'
loop_
_atom_site_label
_atom_site_type_symbol
_atom_site_fract_x
_atom_site_fract_y
_atom_site_fract_z
Rh1 Rh 0.694 0.847 0.281
Rh2 Rh 0.847 0.153 0.719
Rh3 Rh 0.000 0.500 0.000
Rh4 Rh 0.500 0.000 0.000
Pt1 Pt 0.000 0.000 0.500
Rh5 Rh 0.153 0.847 0.281
Ho1 Ho 0.667 0.333 0.393
P1 P 0.333 0.667 0.157
Ho2 Ho 0.333 0.667 0.607
Rh6 Rh 0.847 0.694 0.719
Rh7 Rh 0.306 0.153 0.719
Rh8 Rh 0.500 0.500 0.000
Rh9 Rh 0.153 0.306 0.281
Ho3 Ho 0.000 0.000 0.000
P2 P 0.667 0.333 0.843

10.
# Y3InO | Alexandria via LeMat-Bulk | PBE-GGA | relaxed
# Uncorrected energy ... -6.680 eV per atom
# Spin magnetization ... 0.000 μB per formula unit
# Formation energy without anion corrections ... -1262 meV per atom
# Density of states at the Fermi level ... 19.23 states/eV/cell
# Space group ... P2_1/c
data_Y3InO
_cell_length_a 25.452
_cell_length_b 6.271
_cell_length_c 9.925
_cell_angle_alpha 90.00
_cell_angle_beta 162.78
_cell_angle_gamma 90.00
_space_group_name_H-M_alt 'P 1'
_space_group_IT_number 1
_space_group_name_Hall 'P 1'
loop_
_atom_site_label
_atom_site_type_symbol
_atom_site_fract_x
_atom_site_fract_y
_atom_site_fract_z
Y1 Y 0.590 0.126 0.415
Y2 Y 0.796 0.586 0.442
Y3 Y 0.910 0.626 0.085
In1 In 0.987 0.841 0.577
O1 O 0.022 0.743 0.137
In2 In 0.513 0.341 0.923
Y4 Y 0.410 0.874 0.585
In3 In 0.013 0.159 0.423
Y5 Y 0.644 0.571 0.746
Y6 Y 0.704 0.086 0.058
O2 O 0.522 0.757 0.637
Y7 Y 0.856 0.071 0.754
Y8 Y 0.090 0.374 0.915
Y9 Y 0.356 0.429 0.254
In4 In 0.487 0.659 0.077
Y10 Y 0.296 0.914 0.942
O3 O 0.478 0.243 0.363
O4 O 0.978 0.257 0.863
Y11 Y 0.204 0.414 0.558
Y12 Y 0.144 0.929 0.246

11.
# KSn2Pb3 | Alexandria via LeMat-Bulk | PBE-GGA | relaxed
# Uncorrected energy ... -3.425 eV per atom
# Spin magnetization ... 0.000 μB per formula unit
# Density of states at the Fermi level ... 4.26 states/eV/cell
# Distance to the lowest polymorph of the same formula ... 0 meV/atom
# Space group ... Immm
data_KSn2Pb3
_cell_length_a 5.309
_cell_length_b 9.599
_cell_length_c 9.599
_cell_angle_alpha 60.96
_cell_angle_beta 73.95
_cell_angle_gamma 73.95
_space_group_name_H-M_alt 'P 1'
_space_group_IT_number 1
_space_group_name_Hall 'P 1'
loop_
_atom_site_label
_atom_site_type_symbol
_atom_site_fract_x
_atom_site_fract_y
_atom_site_fract_z
Pb1 Pb 0.324 0.876 0.475
Pb2 Pb 0.676 0.525 0.124
Sn1 Sn 0.194 0.306 0.306
K1 K 0.132 0.868 0.868
Pb3 Pb 0.324 0.475 0.876
K2 K 0.868 0.132 0.132
Sn2 Sn 0.806 0.694 0.694
Sn3 Sn 0.500 0.157 0.843
Pb4 Pb 0.676 0.124 0.525
Pb5 Pb 0.000 0.666 0.334
Pb6 Pb 0.000 0.334 0.666
Sn4 Sn 0.500 0.843 0.157

12.
# IrSe2S | Alexandria via LeMat-Bulk | PBE-GGA | relaxed
# Uncorrected energy ... -5.015 eV per atom
# Spin magnetization ... 0.000 μB per formula unit
# Formation energy without anion corrections ... -25 meV per atom
# Density of states at the Fermi level ... 3.50 states/eV/cell
# Space group ... P-1
data_IrSe2S
_cell_length_a 3.972
_cell_length_b 6.724
_cell_length_c 7.696
_cell_angle_alpha 74.60
_cell_angle_beta 85.61
_cell_angle_gamma 72.82
_space_group_name_H-M_alt 'P 1'
_space_group_IT_number 1
_space_group_name_Hall 'P 1'
loop_
_atom_site_label
_atom_site_type_symbol
_atom_site_fract_x
_atom_site_fract_y
_atom_site_fract_z
Ir1 Ir 0.312 0.371 0.965
Ir2 Ir 0.688 0.629 0.035
S1 S 0.320 0.193 0.263
Se1 Se 0.082 0.826 0.112
Se2 Se 0.799 0.385 0.340
Se3 Se 0.918 0.174 0.888
S2 S 0.680 0.807 0.737
Se4 Se 0.201 0.615 0.660